(1)
Here is crystalline ZrSi2Bi at its relaxed geometry from the Alexandria database. Energies are from GGA-PBE.

Lattice parameters (Å, degrees): 6.290 6.290 12.435 90.00 90.00 90.00
Space group I-42d (No. 122)
Asymmetric unit:
Zr 0.000 0.000 0.000 [4 per cell]
Si 0.234 0.250 0.125 [8 per cell]
Bi 0.000 0.000 0.500 [4 per cell]

size of the total moment: 0.000 μB/atom
formation energy from raw total energies: 0.486 eV per atom

---

(2)
Here is crystalline ZrSiBi3 at its relaxed geometry from the Alexandria database. Energies are from GGA-PBE.

Lattice parameters (Å, degrees): 5.650 5.650 5.650 90.00 90.00 90.00
Space group Pm-3m (No. 221)
Asymmetric unit:
Zr 0.000 0.000 0.000 [1 per cell]
Si 0.500 0.500 0.500 [1 per cell]
Bi 0.000 0.000 0.500 [3 per cell]

size of the total moment: 0.000 μB/atom
energy above the most stable polymorph in this dataset: 0 meV/atom
formation energy from raw total energies: 0.751 eV per atom

---

(3)
Here is crystalline SmBi3 at its relaxed geometry from the Alexandria database. Energies are from GGA-PBE.

Lattice parameters (Å, degrees): 4.692 11.217 4.699 90.00 90.00 90.00
Space group Imm2 (No. 44)
Asymmetric unit:
Sm 0.000 0.000 0.000 [2 per cell]
Bi 0.000 0.250 0.504 [4 per cell]
Bi 0.000 0.500 0.000 [2 per cell]

DFT formation energy: -160.1 kJ/mol of formula units
size of the total moment: 0.000 μB/atom

---

(4)
Here is crystalline SmBi3 at its relaxed geometry from the Alexandria database. Energies are from GGA-PBE.

Lattice parameters (Å, degrees): 4.628 23.890 4.654 90.00 90.00 90.00
Space group Cmcm (No. 63)
Asymmetric unit:
Sm 0.000 0.070 0.250 [4 per cell]
Bi 0.000 0.178 0.750 [4 per cell]
Bi 0.000 0.322 0.750 [4 per cell]
Bi 0.000 0.447 0.250 [4 per cell]

DFT formation energy: -163.4 kJ/mol of formula units
size of the total moment: 0.000 μB/atom

---

(5)
Here is crystalline SmBi6 at its relaxed geometry from the Alexandria database. Energies are from GGA-PBE.

Lattice parameters (Å, degrees): 8.739 8.739 8.739 90.00 90.00 90.00
Space group Im-3m (No. 229)
Asymmetric unit:
Sm 0.000 0.000 0.000 [2 per cell]
Bi 0.000 0.250 0.500 [12 per cell]

DFT formation energy: 365.4 kJ/mol of formula units
size of the total moment: 0.138 μB/atom

---

(6)
Here is crystalline Sm5Bi2 at its relaxed geometry from the Alexandria database. Energies are from GGA-PBE.

Lattice parameters (Å, degrees): 16.386 6.404 8.740 90.00 95.50 90.00
Space group C2/c (No. 15)
Asymmetric unit:
Sm 0.000 0.178 0.250 [4 per cell]
Sm 0.103 0.351 0.937 [8 per cell]
Sm 0.227 0.092 0.315 [8 per cell]
Bi 0.098 0.178 0.583 [8 per cell]

DFT formation energy: -310.2 kJ/mol of formula units
size of the total moment: 0.008 μB/atom

---

(7)
Here is crystalline Sm5Bi3 at its relaxed geometry from the Alexandria database. Energies are from GGA-PBE.

Lattice parameters (Å, degrees): 9.3954 9.3954 6.5148 90.00 90.00 120.00
Space group P6_3/mcm (No. 193)
Asymmetric unit:
Sm 0.0000 0.2458 0.2500 [6 per cell]
Sm 0.3333 0.6667 0.0000 [4 per cell]
Bi 0.0000 0.3880 0.7500 [6 per cell]

DFT formation energy: -583.8 kJ/mol of formula units
size of the total moment: 0.066 μB/atom

---

(8)
Here is crystalline Sm3Bi at its relaxed geometry from the Alexandria database. Energies are from GGA-PBE.

Lattice parameters (Å, degrees): 4.343 4.343 16.511 90.00 90.00 90.00
Space group I4/mmm (No. 139)
Asymmetric unit:
Sm 0.000 0.000 0.000 [2 per cell]
Sm 0.000 0.000 0.310 [4 per cell]
Bi 0.000 0.000 0.500 [2 per cell]

DFT formation energy: -31.0 kJ/mol of formula units
size of the total moment: 0.190 μB/atom
energy above the most stable polymorph in this dataset: 325 meV/atom

---

(9)
Here is crystalline Sm2Bi at its relaxed geometry from the Alexandria database. Energies are from GGA-PBE.

Lattice parameters (Å, degrees): 4.174 4.174 10.501 90.00 90.00 90.00
Space group I4/mmm (No. 139)
Asymmetric unit:
Sm 0.000 0.000 0.157 [4 per cell]
Bi 0.000 0.000 0.500 [2 per cell]

DFT formation energy: -146.9 kJ/mol of formula units
size of the total moment: 0.000 μB/atom

---

(10)
Here is crystalline Sm7Bi5 at its relaxed geometry from the Alexandria database. Energies are from GGA-PBE.

Lattice parameters (Å, degrees): 14.845 4.515 13.069 90.00 110.09 90.00
Space group C2/m (No. 12)
Asymmetric unit:
Sm 0.000 0.000 0.000 [2 per cell]
Sm 0.045 0.500 0.285 [4 per cell]
Sm 0.161 0.000 0.535 [4 per cell]
Sm 0.219 0.000 0.840 [4 per cell]
Bi 0.000 0.500 0.500 [2 per cell]
Bi 0.121 0.500 0.935 [4 per cell]
Bi 0.197 0.000 0.289 [4 per cell]

DFT formation energy: -760.7 kJ/mol of formula units
size of the total moment: 0.000 μB/atom

---

(11)
Here is crystalline SmBi5 at its relaxed geometry from the Alexandria database. Energies are from GGA-PBE.

Lattice parameters (Å, degrees): 4.752 16.585 4.790 90.00 90.00 90.00
Space group Cmmm (No. 65)
Asymmetric unit:
Sm 0.000 0.000 0.000 [2 per cell]
Bi 0.000 0.167 0.500 [4 per cell]
Bi 0.000 0.347 0.000 [4 per cell]
Bi 0.000 0.500 0.500 [2 per cell]

DFT formation energy: -145.6 kJ/mol of formula units
size of the total moment: 0.000 μB/atom

---

(12)
Here is crystalline Sm3Bi at its relaxed geometry from the Alexandria database. Energies are from GGA-PBE.

Lattice parameters (Å, degrees): 4.949 4.949 4.949 90.00 90.00 90.00
Space group Pm-3m (No. 221)
Asymmetric unit:
Sm 0.000 0.000 0.500 [3 per cell]
Bi 0.500 0.500 0.500 [1 per cell]

DFT formation energy: -156.6 kJ/mol of formula units
size of the total moment: 0.000 μB/atom
energy above the most stable polymorph in this dataset: 0 meV/atom

---

(13)
Here is crystalline SmBi3 at its relaxed geometry from the Alexandria database. Energies are from GGA-PBE.

Lattice parameters (Å, degrees): 4.560 6.351 4.747 90.00 90.00 90.00
Space group Pmm2 (No. 25)
Asymmetric unit:
Sm 0.000 0.000 0.000 [1 per cell]
Bi 0.000 0.500 0.825 [1 per cell]
Bi 0.500 0.000 0.485 [1 per cell]
Bi 0.500 0.500 0.266 [1 per cell]

DFT formation energy: -154.9 kJ/mol of formula units
size of the total moment: 0.000 μB/atom

---

(14)
Here is crystalline Sm3Bi at its relaxed geometry from the Alexandria database. Energies are from GGA-PBE.

Lattice parameters (Å, degrees): 4.083 11.241 5.558 90.00 90.00 90.00
Space group Imm2 (No. 44)
Asymmetric unit:
Sm 0.000 0.000 0.000 [2 per cell]
Sm 0.000 0.224 0.593 [4 per cell]
Bi 0.000 0.500 0.975 [2 per cell]

DFT formation energy: -139.3 kJ/mol of formula units
size of the total moment: 0.000 μB/atom
energy above the most stable polymorph in this dataset: 45 meV/atom

---

(15)
Here is crystalline SmBi3 at its relaxed geometry from the Alexandria database. Energies are from GGA-PBE.

Lattice parameters (Å, degrees): 6.9197 6.9197 5.9862 90.00 90.00 120.00
Space group P6_3/mmc (No. 194)
Asymmetric unit:
Sm 0.3333 0.6667 0.2500 [2 per cell]
Bi 0.1738 0.3476 0.7500 [6 per cell]

DFT formation energy: -152.4 kJ/mol of formula units
size of the total moment: 0.000 μB/atom

---

(16)
Here is crystalline Sm4Bi at its relaxed geometry from the Alexandria database. Energies are from GGA-PBE.

Lattice parameters (Å, degrees): 5.945 5.945 5.945 90.00 90.00 90.00
Space group Pm-3m (No. 221)
Asymmetric unit:
Sm 0.000 0.000 0.000 [1 per cell]
Sm 0.000 0.500 0.500 [3 per cell]
Bi 0.500 0.500 0.500 [1 per cell]

DFT formation energy: 116.4 kJ/mol of formula units
size of the total moment: 0.261 μB/atom

---

(17)
Here is crystalline Sm2Bi at its relaxed geometry from the Alexandria database. Energies are from GGA-PBE.

Lattice parameters (Å, degrees): 4.585 4.585 17.853 90.00 90.00 90.00
Space group I4/mmm (No. 139)
Asymmetric unit:
Sm 0.000 0.000 0.178 [4 per cell]
Sm 0.000 0.500 0.000 [4 per cell]
Bi 0.000 0.000 0.360 [4 per cell]

DFT formation energy: -187.2 kJ/mol of formula units
size of the total moment: 0.000 μB/atom

---

(18)
Here is crystalline Sm3Bi at its relaxed geometry from the Alexandria database. Energies are from GGA-PBE.

Lattice parameters (Å, degrees): 6.658 4.159 9.762 90.00 99.85 90.00
Space group P2_1/m (No. 11)
Asymmetric unit:
Sm 0.086 0.250 0.357 [2 per cell]
Sm 0.272 0.750 0.092 [2 per cell]
Sm 0.403 0.750 0.625 [2 per cell]
Bi 0.216 0.250 0.841 [2 per cell]

DFT formation energy: -143.7 kJ/mol of formula units
size of the total moment: 0.001 μB/atom
energy above the most stable polymorph in this dataset: 34 meV/atom

---

(19)
Here is crystalline Sm8Sn2Bi at its relaxed geometry from the Alexandria database. Energies are from GGA-PBE.

Lattice parameters (Å, degrees): 20.137 5.034 7.204 90.00 101.79 90.00
Space group C2/m (No. 12)
Asymmetric unit:
Sm 0.025 0.000 0.257 [4 per cell]
Sm 0.096 0.500 0.985 [4 per cell]
Sm 0.162 0.500 0.511 [4 per cell]
Sm 0.216 0.000 0.839 [4 per cell]
Sn 0.183 0.000 0.263 [4 per cell]
Bi 0.000 0.500 0.500 [2 per cell]

DFT formation energy: -418.1 kJ/mol of formula units
size of the total moment: 0.000 μB/atom

---

(20)
Here is crystalline Sm2SnBi4 at its relaxed geometry from the Alexandria database. Energies are from GGA-PBE.

Lattice parameters (Å, degrees): 16.352 4.651 6.457 90.00 107.41 90.00
Space group C2/m (No. 12)
Asymmetric unit:
Sm 0.211 0.000 0.246 [4 per cell]
Sn 0.000 0.000 0.000 [2 per cell]
Bi 0.076 0.500 0.346 [4 per cell]
Bi 0.147 0.000 0.727 [4 per cell]

DFT formation energy: -233.1 kJ/mol of formula units
size of the total moment: 0.000 μB/atom
energy above the most stable polymorph in this dataset: 85 meV/atom

---

(21)
Here is crystalline Sm7Sn5Bi at its relaxed geometry from the Alexandria database. Energies are from GGA-PBE.

Lattice parameters (Å, degrees): 6.318 11.499 10.804 90.00 90.00 90.00
Space group Imm2 (No. 44)
Asymmetric unit:
Sm 0.000 0.000 0.000 [2 per cell]
Sm 0.000 0.000 0.393 [2 per cell]
Sm 0.000 0.331 0.620 [4 per cell]
Sm 0.000 0.337 0.104 [4 per cell]
Sm 0.000 0.500 0.353 [2 per cell]
Sn 0.000 0.500 0.858 [2 per cell]
Sn 0.249 0.256 0.366 [8 per cell]
Bi 0.000 0.000 0.686 [2 per cell]

DFT formation energy: -671.1 kJ/mol of formula units
size of the total moment: 0.000 μB/atom

---

(22)
Here is crystalline Sm6SnBi5 at its relaxed geometry from the Alexandria database. Energies are from GGA-PBE.

Lattice parameters (Å, degrees): 7.875 13.646 7.863 90.00 109.51 90.00
Space group C2/m (No. 12)
Asymmetric unit:
Sm 0.247 0.000 0.251 [4 per cell]
Sm 0.247 0.165 0.747 [8 per cell]
Sn 0.000 0.000 0.500 [2 per cell]
Bi 0.000 0.169 0.000 [4 per cell]
Bi 0.000 0.334 0.500 [4 per cell]
Bi 0.000 0.500 0.000 [2 per cell]

DFT formation energy: -1000.4 kJ/mol of formula units
size of the total moment: 0.000 μB/atom

---

(23)
Here is crystalline SmSnBi2 at its relaxed geometry from the Alexandria database. Energies are from GGA-PBE.

Lattice parameters (Å, degrees): 4.8625 4.8625 26.4725 90.00 90.00 120.00
Space group R-3m (No. 166, hexagonal axes)
Asymmetric unit:
Sm 0.0000 0.0000 0.0000 [3 per cell]
Sn 0.0000 0.0000 0.5000 [3 per cell]
Bi 0.0000 0.0000 0.3914 [6 per cell]

DFT formation energy: 56.6 kJ/mol of formula units
size of the total moment: 0.000 μB/atom
energy above the most stable polymorph in this dataset: 579 meV/atom

---

(24)
Here is crystalline Sm5SnBi4 at its relaxed geometry from the Alexandria database. Energies are from GGA-PBE.

Lattice parameters (Å, degrees): 10.154 10.154 6.422 90.00 90.00 90.00
Space group I4/m (No. 87)
Asymmetric unit:
Sm 0.000 0.000 0.000 [2 per cell]
Sm 0.100 0.297 0.500 [8 per cell]
Sn 0.000 0.000 0.500 [2 per cell]
Bi 0.098 0.301 0.000 [8 per cell]

DFT formation energy: -821.5 kJ/mol of formula units
size of the total moment: 0.000 μB/atom

---

(25)
Here is crystalline Sm2SnBi4 at its relaxed geometry from the Alexandria database. Energies are from GGA-PBE.

Lattice parameters (Å, degrees): 9.031 10.073 6.710 90.00 131.96 90.00
Space group C2/m (No. 12)
Asymmetric unit:
Sm 0.250 0.250 0.000 [4 per cell]
Sn 0.000 0.000 0.500 [2 per cell]
Bi 0.000 0.000 0.000 [2 per cell]
Bi 0.000 0.500 0.000 [2 per cell]
Bi 0.250 0.250 0.500 [4 per cell]

DFT formation energy: -290.6 kJ/mol of formula units
size of the total moment: 0.000 μB/atom
energy above the most stable polymorph in this dataset: 0 meV/atom

---

What Fermi-level density of states values result from the calculations? In sequence: 2.9; 4.8; 2.3; 2.3; 8.9; 9.8; 7.9; 6.7; 3.9; 8.9; 3.4; 4.1; 0.4; 3.0; 1.9; 11.1; 4.5; 5.1; 13.1; 3.4; 9.1; 4.7; 3.8; 3.9; 4.0 states/eV/f.u..